# BaLi4Al, PBEsol geometry, DFT meta-GGA SCAN
data_BaLi4Al
_cell_length_a 8.1448
_cell_length_b 8.1448
_cell_length_c 8.1448
_cell_angle_alpha 90.00
_cell_angle_beta 90.00
_cell_angle_gamma 90.00
_symmetry_space_group_name_H-M 'F -4 3 m'
_symmetry_Int_Tables_number 216
_symmetry_space_group_name_Hall 'F -4 2 3'
loop_
_atom_site_label
_atom_site_fract_x
_atom_site_fract_y
_atom_site_fract_z
Ba1 0.0000 0.0000 0.0000
Li1 0.1211 0.1211 0.6211
Al1 0.2500 0.2500 0.2500
# ΔE_f: -17.7 meV per atom
# Spin magnetization: 0.6 μB/cell

---

# Ba6Lu2Al4O15, PBEsol geometry, DFT meta-GGA SCAN
data_Ba6Lu2Al4O15
_cell_length_a 7.7666
_cell_length_b 5.8422
_cell_length_c 18.1914
_cell_angle_alpha 90.00
_cell_angle_beta 91.75
_cell_angle_gamma 90.00
_symmetry_space_group_name_H-M 'P 1 2/c 1'
_symmetry_Int_Tables_number 13
_symmetry_space_group_name_Hall '-P 2yc'
loop_
_atom_site_label
_atom_site_fract_x
_atom_site_fract_y
_atom_site_fract_z
Ba1 0.0000 0.1820 0.2500
Ba2 0.9996 0.2538 0.5804
Ba3 0.4724 0.2472 0.9107
Ba4 0.5000 0.2291 0.2500
Lu1 0.2524 0.2496 0.0893
Al1 0.2525 0.2477 0.4445
Al2 0.2767 0.2636 0.7308
O1 0.0347 0.2529 0.4096
O2 0.1884 0.1744 0.8125
O3 0.2288 0.4776 0.1843
O4 0.2554 0.0368 0.6655
O5 0.2640 0.4886 0.5058
O6 0.2646 0.0030 0.0005
O7 0.4485 0.2612 0.3951
O8 0.5000 0.2897 0.7500
# Uncorrected formation energy: -90.9 eV/f.u.
# Spin magnetization: 0.0 μB/cell

---

# BaMn3Al, PBEsol geometry, DFT meta-GGA SCAN
data_BaMn3Al
_cell_length_a 4.9847
_cell_length_b 4.9847
_cell_length_c 4.9847
_cell_angle_alpha 90.00
_cell_angle_beta 90.00
_cell_angle_gamma 90.00
_symmetry_space_group_name_H-M 'P m -3 m'
_symmetry_Int_Tables_number 221
_symmetry_space_group_name_Hall '-P 4 2 3'
loop_
_atom_site_label
_atom_site_fract_x
_atom_site_fract_y
_atom_site_fract_z
Ba1 0.0000 0.0000 0.0000
Mn1 0.0000 0.0000 0.5000
Al1 0.5000 0.5000 0.5000
# ΔE_f: 1881.3 meV per atom
# Spin magnetization: 11.7 μB/cell